(1)
NaLiP2S | GGA-PBE | optimized geometry

Values from the calculation:
For the size of the total moment, the calculation gives 0.0 μB per formula unit. The energy relative to the elements, uncorrected comes out at 0.33 eV per atom. For the density of states at the Fermi level, the calculation gives 2.7 states/eV per cell. As for the symmetry: No. 123.

Cell lengths 4.3972, 4.3972, 4.7933 Å; angles 90.00, 90.00, 90.00 degrees
Closest atoms and distances in Å follow each position.
Fractional coordinates of all 5 atoms:
P  0.0000  0.5000  0.0000  2 Li 2.20
P  0.5000  0.0000  0.0000  2 Li 2.20
S  0.0000  0.0000  0.5000  2 Li 2.40
Li  0.0000  0.0000  0.0000  4 P 2.20, 2 S 2.40
Na  0.5000  0.5000  0.5000  4 S 3.11, 8 P 3.25


(2)
Sm5Dy2ErSc | GGA-PBE | optimized geometry

Values from the calculation:
For the size of the total moment, the calculation gives 0.0 μB per formula unit. For the density of states at the Fermi level, the calculation gives 26.1 states/eV per cell. As for the symmetry: No. 36. The formation enthalpy at 0 K is 0.13 eV per atom.

Cell lengths 5.3254, 11.2095, 10.1333 Å; angles 90.00, 90.00, 103.74 degrees
Closest atoms and distances in Å follow each position.
Fractional coordinates of all 18 atoms:
Sm  0.3735  0.7470  0.0081  1 Sc 3.47, 4 Dy 3.69, 6 Sm 3.74-3.82
Sm  0.7213  0.4425  0.8208  2 Sm 3.20, 1 Er 3.23, 3 Sc 3.28-3.46, 2 Dy 3.57
Sm  0.5002  0.0003  0.7578  2 Er 3.36, 4 Dy 3.67, 6 Sm 3.67-3.75
Sm  0.2793  0.5587  0.6967  2 Sm 3.20, 1 Er 3.23, 3 Sc 3.28-3.46, 2 Dy 3.56
Sm  0.0010  0.0019  0.5079  2 Er 3.47, 4 Dy 3.56-3.59, 6 Sm 3.67-3.82
Sm  0.6265  0.2530  0.5081  1 Sc 3.47, 4 Dy 3.69, 6 Sm 3.74-3.82
Sm  0.2787  0.5575  0.3208  2 Sm 3.20, 1 Er 3.23, 3 Sc 3.28-3.46, 2 Dy 3.57
Sm  0.4998  0.9997  0.2578  2 Er 3.36, 4 Dy 3.67, 6 Sm 3.67-3.75
Sm  0.7207  0.4413  0.1967  2 Sm 3.20, 1 Er 3.23, 3 Sc 3.28-3.46, 2 Dy 3.56
Sm  0.9990  0.9981  0.0079  2 Er 3.47, 4 Dy 3.56-3.59, 6 Sm 3.67-3.82
Dy  0.8844  0.7688  0.7572  1 Sc 3.31, 9 Sm 3.56-3.69, 2 Er 3.68
Dy  0.1161  0.2323  0.7587  1 Sc 3.31, 9 Sm 3.57-3.69, 2 Er 3.68
Dy  0.1156  0.2312  0.2572  1 Sc 3.31, 9 Sm 3.56-3.69, 2 Er 3.68
Dy  0.8839  0.7677  0.2587  1 Sc 3.31, 9 Sm 3.57-3.69, 2 Er 3.68
Er  0.6011  0.2023  0.0080  6 Sm 3.23-3.47
Er  0.3989  0.7977  0.5080  6 Sm 3.23-3.47
Sc  0.7857  0.5714  0.5087  7 Sm 3.28-3.47, 2 Dy 3.31, 2 Er 3.63
Sc  0.2143  0.4286  0.0087  7 Sm 3.28-3.47, 2 Dy 3.31, 2 Er 3.63


(3)
DyPu4P5 | GGA-PBE | optimized geometry

Values from the calculation:
For the size of the total moment, the calculation gives 19.8 μB per formula unit. For the density of states at the Fermi level, the calculation gives 33.3 states/eV per cell. As for the symmetry: No. 87. The formation enthalpy at 0 K is -1.24 eV per atom.

Cell lengths 5.6542, 6.9249, 6.9249 Å; angles 80.41, 65.90, 65.90 degrees
Closest atoms and distances in Å follow each position.
Fractional coordinates of all 10 atoms:
Dy  0.0012  0.0000  0.0000  6 P 2.83-2.86
Pu  0.3999  0.4002  0.8019  6 P 2.81-2.83
Pu  0.8001  0.8019  0.5998  6 P 2.81-2.83
Pu  0.2018  0.1981  0.4002  6 P 2.81-2.83
Pu  0.6020  0.5998  0.1981  6 P 2.81-2.83
P  0.9002  0.4041  0.7974  5 Pu 2.81-2.83, 1 Dy 2.86
P  0.3043  0.7974  0.5959  5 Pu 2.81-2.83, 1 Dy 2.86
P  0.6976  0.2026  0.4041  5 Pu 2.81-2.83, 1 Dy 2.86
P  0.1017  0.5959  0.2026  5 Pu 2.81-2.83, 1 Dy 2.86
P  0.5012  0.0000  0.0000  4 Pu 2.82, 2 Dy 2.83


(4)
BaSc2Sb2 | GGA-PBE | optimized geometry

Values from the calculation:
For the size of the total moment, the calculation gives 0.0 μB per formula unit. The energy relative to the elements, uncorrected comes out at -0.62 eV per atom. For the density of states at the Fermi level, the calculation gives 12.0 states/eV per cell. As for the symmetry: No. 127.

Cell lengths 8.7296, 8.7296, 3.7084 Å; angles 90.00, 90.00, 90.00 degrees
Closest atoms and distances in Å follow each position.
Fractional coordinates of all 10 atoms:
Sc  0.1391  0.6391  0.5000  6 Sb 3.10-3.24, 1 Sc 3.43
Sc  0.6391  0.8609  0.5000  6 Sb 3.10-3.24, 1 Sc 3.43
Sc  0.8609  0.3609  0.5000  6 Sb 3.10-3.24, 1 Sc 3.43
Sc  0.3609  0.1391  0.5000  6 Sb 3.10-3.24, 1 Sc 3.43
Sb  0.3544  0.8544  0.0000  6 Sc 3.10-3.24, 2 Ba 3.34
Sb  0.8544  0.6456  0.0000  6 Sc 3.10-3.24, 2 Ba 3.34
Sb  0.6456  0.1456  0.0000  6 Sc 3.10-3.24, 2 Ba 3.34
Sb  0.1456  0.3544  0.0000  6 Sc 3.10-3.24, 2 Ba 3.34
Ba  0.0000  0.0000  0.0000  4 Sb 3.34, 2 Ba 3.71
Ba  0.5000  0.5000  0.0000  4 Sb 3.34, 2 Ba 3.71


(5)
TlPbCl2 | GGA-PBE | optimized geometry

Values from the calculation:
For the size of the total moment, the calculation gives 0.0 μB per formula unit. The energy relative to the elements, uncorrected comes out at -0.68 eV per atom. For the density of states at the Fermi level, the calculation gives 2.3 states/eV per cell. As for the symmetry: No. 99.

Cell lengths 4.4936, 4.4936, 6.4268 Å; angles 90.00, 90.00, 90.00 degrees
Closest atoms and distances in Å follow each position.
Fractional coordinates of all 4 atoms:
Pb  0.0000  0.0000  0.3750  5 Cl 2.97-3.18
Tl  0.5000  0.5000  0.8577  6 Cl 3.19-3.24
Cl  0.0000  0.0000  0.9135  1 Pb 2.97, 4 Tl 3.20
Cl  0.5000  0.5000  0.3538  4 Pb 3.18, 2 Tl 3.19-3.24


(6)
PrHo2Hf | GGA-PBE | optimized geometry

Values from the calculation:
For the size of the total moment, the calculation gives 1.2 μB per formula unit. For the density of states at the Fermi level, the calculation gives 8.5 states/eV per cell. As for the symmetry: No. 225. The formation enthalpy at 0 K is 0.30 eV per atom.

Cell lengths 5.5039, 5.5039, 5.5064 Å; angles 60.01, 60.01, 60.00 degrees
Closest atoms and distances in Å follow each position.
Fractional coordinates of all 4 atoms:
Pr  0.5000  0.5000  0.5000  8 Ho 3.37
Hf  0.0000  0.0000  0.0000  8 Ho 3.37-3.38
Ho  0.2502  0.2502  0.2493  4 Pr 3.37, 4 Hf 3.37-3.38
Ho  0.7498  0.7498  0.7507  4 Pr 3.37, 4 Hf 3.37-3.38


(7)
CoSbPt2 | GGA-PBE | optimized geometry

Values from the calculation:
For the size of the total moment, the calculation gives 1.4 μB per formula unit. The energy relative to the elements, uncorrected comes out at 0.20 eV per atom. For the density of states at the Fermi level, the calculation gives 3.7 states/eV per cell. As for the symmetry: No. 160.

Cell lengths 8.5085, 8.5085, 8.5085 Å; angles 20.44, 20.44, 20.44 degrees
Closest atoms and distances in Å follow each position.
Fractional coordinates of all 4 atoms:
Co  0.7505  0.7505  0.7505  3 Sb 2.61, 3 Pt 2.61
Pt  0.0061  0.0061  0.0061  3 Co 2.61, 3 Pt 2.86
Pt  0.2487  0.2487  0.2487  3 Sb 2.79, 9 Pt 2.86-3.02
Sb  0.4948  0.4948  0.4948  3 Co 2.61, 3 Pt 2.79


(8)
TaNbMo3 | GGA-PBE | optimized geometry

Values from the calculation:
For the size of the total moment, the calculation gives 0.0 μB per formula unit. For the density of states at the Fermi level, the calculation gives 5.2 states/eV per cell. As for the symmetry: No. 12. The formation enthalpy at 0 K is -0.12 eV per atom.

Cell lengths 4.5563, 5.3120, 7.9212 Å; angles 104.35, 90.00, 115.40 degrees
Closest atoms and distances in Å follow each position.
Fractional coordinates of all 10 atoms:
Ta  0.4469  0.8939  0.6498  5 Mo 2.75-2.80, 2 Nb 2.81, 1 Ta 2.83
Ta  0.5531  0.1061  0.3502  5 Mo 2.75-2.80, 2 Nb 2.81, 1 Ta 2.83
Nb  0.0532  0.1064  0.8520  5 Mo 2.75-2.80, 1 Nb 2.80, 2 Ta 2.81
Nb  0.9468  0.8936  0.1480  5 Mo 2.75-2.80, 1 Nb 2.80, 2 Ta 2.81
Mo  0.7500  0.5001  0.7484  6 Mo 2.79-2.80, 1 Ta 2.80, 1 Nb 2.80
Mo  0.2500  0.4999  0.2516  6 Mo 2.79-2.80, 1 Ta 2.80, 1 Nb 2.80
Mo  0.6490  0.2979  0.0486  3 Nb 2.75-2.77, 4 Mo 2.75-2.80, 1 Ta 2.79
Mo  0.3510  0.7021  0.9514  3 Nb 2.75-2.77, 4 Mo 2.75-2.80, 1 Ta 2.79
Mo  0.8513  0.7026  0.4496  4 Mo 2.75-2.79, 3 Ta 2.75-2.78, 1 Nb 2.78
Mo  0.1487  0.2974  0.5504  4 Mo 2.75-2.79, 3 Ta 2.75-2.78, 1 Nb 2.78


(9)
Na8B13C3 | GGA-PBE | optimized geometry

Values from the calculation:
For the size of the total moment, the calculation gives 0.0 μB per formula unit. For the density of states at the Fermi level, the calculation gives 5.4 states/eV per cell. As for the symmetry: No. 35. The formation enthalpy at 0 K is 0.20 eV per atom.

Cell lengths 9.1232, 9.1232, 5.2319 Å; angles 90.00, 90.00, 143.40 degrees
Closest atoms and distances in Å follow each position.
Fractional coordinates of all 24 atoms:
Na  0.2515  0.2495  0.4998  9 B 2.68-2.84, 3 C 2.72-2.75, 6 Na 2.86-2.99
Na  0.4995  0.0015  0.4998  9 B 2.68-2.84, 3 C 2.72-2.75, 6 Na 2.86-2.99
Na  0.9997  0.0003  0.9994  10 B 2.71-2.88, 2 C 2.79-2.80, 6 Na 2.86-2.99
Na  0.2503  0.7497  0.9994  10 B 2.71-2.88, 2 C 2.79-2.80, 6 Na 2.86-2.99
Na  0.7505  0.7485  0.4998  9 B 2.68-2.84, 3 C 2.72-2.75, 6 Na 2.86-2.99
Na  0.9985  0.5005  0.4998  9 B 2.68-2.84, 3 C 2.72-2.75, 6 Na 2.86-2.99
Na  0.5009  0.4991  0.9994  11 B 2.71-2.91, 1 C 2.81, 6 Na 2.86-2.98
Na  0.7491  0.2509  0.9994  11 B 2.71-2.91, 1 C 2.81, 6 Na 2.86-2.98
C  0.3747  0.6253  0.6622  3 B 1.56-1.65
C  0.1250  0.8750  0.3374  3 B 1.57-1.60
C  0.8753  0.1247  0.6622  3 B 1.56-1.65
B  0.6250  0.3750  0.3320  3 B 1.68-1.72
B  0.6250  0.8750  0.1515  3 B 1.73-1.82
B  0.8755  0.1245  0.3647  1 C 1.56
B  0.3616  0.1116  0.1759  1 C 1.60, 2 B 1.72
B  0.3720  0.1220  0.8470  3 B 1.72-1.79
B  0.6250  0.8750  0.8204  2 C 1.65, 1 B 1.73
B  0.1250  0.8750  0.6370  1 C 1.57
B  0.1250  0.3750  0.1515  3 B 1.73-1.82
B  0.3745  0.6255  0.3647  1 C 1.56
B  0.8884  0.6384  0.1759  1 C 1.60, 2 B 1.72
B  0.8780  0.6280  0.8470  3 B 1.72-1.79
B  0.1250  0.3750  0.8204  2 C 1.65, 1 B 1.73
B  0.6250  0.3750  0.6537  3 B 1.68-1.77


(10)
TlSbTe2Ir | GGA-PBE | optimized geometry

Values from the calculation:
For the size of the total moment, the calculation gives 0.0 μB per formula unit. The energy relative to the elements, uncorrected comes out at 0.27 eV per atom. For the density of states at the Fermi level, the calculation gives 5.2 states/eV per cell. As for the symmetry: No. 123.

Cell lengths 5.5988, 5.5988, 4.9623 Å; angles 90.00, 90.00, 90.00 degrees
Closest atoms and distances in Å follow each position.
Fractional coordinates of all 5 atoms:
Sb  0.0000  0.0000  0.5000  2 Ir 2.48
Tl  0.5000  0.5000  0.5000  8 Te 3.74, 4 Sb 3.96
Ir  0.0000  0.0000  0.0000  2 Sb 2.48
Te  0.0000  0.5000  0.0000  2 Ir 2.80
Te  0.5000  0.0000  0.0000  2 Ir 2.80


(11)
LiNdTl6 | GGA-PBE | optimized geometry

Values from the calculation:
For the size of the total moment, the calculation gives 0.0 μB per formula unit. For the density of states at the Fermi level, the calculation gives 4.3 states/eV per cell. As for the symmetry: No. 65. The formation enthalpy at 0 K is -0.15 eV per atom.

Cell lengths 4.8247, 6.7809, 6.7809 Å; angles 89.81, 90.00, 90.00 degrees
Closest atoms and distances in Å follow each position.
Fractional coordinates of all 8 atoms:
Li  0.5000  0.5000  0.5000  12 Tl 3.36-3.39
Nd  0.5000  0.0000  0.0000  12 Tl 3.39-3.44
Tl  0.0000  0.7441  0.2559  8 Tl 3.33-3.45, 2 Li 3.36, 2 Nd 3.44
Tl  0.0000  0.2559  0.7441  8 Tl 3.33-3.45, 2 Li 3.36, 2 Nd 3.44
Tl  0.0000  0.7463  0.7463  8 Tl 3.33-3.45, 2 Li 3.38, 2 Nd 3.43
Tl  0.0000  0.2537  0.2537  8 Tl 3.33-3.45, 2 Li 3.38, 2 Nd 3.43
Tl  0.5000  0.5000  0.0000  2 Li 3.39, 2 Nd 3.39, 8 Tl 3.40
Tl  0.5000  0.0000  0.5000  2 Nd 3.39, 2 Li 3.39, 8 Tl 3.40


Number 1: mass density 2.221 g/cm3. Number 2: mass density 7.285 g/cm3. Number 3: mass density 9.505 g/cm3. Number 4: mass density 5.532 g/cm3. Number 5: mass density 6.174 g/cm3. Number 6: mass density 9.139 g/cm3. Number 7: mass density 14.412 g/cm3. Number 8: mass density 11.200 g/cm3. Number 9: mass density 2.305 g/cm3. Number 10: mass density 8.258 g/cm3. Number 11: mass density 10.311 g/cm3.